# Sr2LiP | Alexandria via LeMat-Bulk | PBE | relaxed
# - energy (eV per atom) = -3.193
# - formation energy (meV per atom) = -521
data_Sr2LiP
_chemical_formula_sum 'Sr2 Li1 P1'
_cell_length_a 3.906
_cell_length_b 3.906
_cell_length_c 7.914
_cell_angle_alpha 90.00
_cell_angle_beta 90.00
_cell_angle_gamma 90.00
_space_group_name_H-M_alt 'P 4/m m m'
_space_group_IT_number 123
_space_group_name_Hall '-P 4 2'
loop_
_atom_site_label
_atom_site_fract_x
_atom_site_fract_y
_atom_site_fract_z
_atom_site_occupancy
Sr1 0.000 0.000 0.199 1
Li1 0.500 0.500 0.500 1
P1 0.500 0.500 0.000 1